Computed, not measured: a relaxed structure of CaMgH3 at the GGA-PBE level of DFT.

Cell: 3.911 3.911 3.911 Å, 90.00 90.00 90.00°
Fractional coordinates of all 5 atoms:
Ca  0.000  0.000  0.000
Mg  0.500  0.500  0.500
H  0.000  0.500  0.500
H  0.500  0.000  0.500
H  0.500  0.500  0.000

Computed properties:
The value obtained for the total energy is -2.8816 eV per atom. The calculation puts the distance to the lowest polymorph of the same formula at 91 meV per atom. As for the density of states at the Fermi level: 1.8 states/eV/f.u. The calculation puts the total magnetization at 0.00 μB/cell. The crystal system is cubic.

---

Computed, not measured: a relaxed structure of Ca5Mg2H12 at the GGA-PBE level of DFT.

Cell: 6.719 6.719 7.321 Å, 104.51 104.51 51.39°
Fractional coordinates of all 19 atoms:
Ca  0.000  0.000  0.000
Ca  0.299  0.299  0.658
Ca  0.311  0.311  0.144
Ca  0.689  0.689  0.856
Ca  0.701  0.701  0.342
Mg  0.242  0.758  0.500
Mg  0.758  0.242  0.500
H  0.003  0.003  0.320
H  0.094  0.594  0.917
H  0.120  0.552  0.417
H  0.406  0.906  0.083
H  0.448  0.880  0.583
H  0.496  0.496  0.685
H  0.504  0.504  0.315
H  0.552  0.120  0.417
H  0.594  0.094  0.917
H  0.880  0.448  0.583
H  0.906  0.406  0.083
H  0.997  0.997  0.680

Computed properties:
The value obtained for the total energy is -3.2212 eV per atom. As for the density of states at the Fermi level: 3.5 states/eV/f.u. The calculation puts the total magnetization at 0.00 μB/cell. The crystal system is monoclinic.

---

Computed, not measured: a relaxed structure of Ca2MgH at the GGA-PBE level of DFT.

Cell: 3.378 3.378 8.442 Å, 90.00 90.00 90.00°
Fractional coordinates of all 4 atoms:
Ca  0.000  0.000  0.204
Ca  0.000  0.000  0.796
Mg  0.500  0.500  0.500
H  0.500  0.500  0.000

Computed properties:
The value obtained for the total energy is -2.1792 eV per atom. The calculation puts the distance to the lowest polymorph of the same formula at 176 meV per atom. As for the density of states at the Fermi level: 3.5 states/eV/f.u. The calculation puts the total magnetization at 0.00 μB/cell. The crystal system is tetragonal.

---

Computed, not measured: a relaxed structure of CaMgH3 at the GGA-PBE level of DFT.

Cell: 4.191 4.191 4.191 Å, 90.00 90.00 90.00°
Fractional coordinates of all 5 atoms:
Ca  0.000  0.000  0.000
Mg  0.500  0.500  0.500
H  0.000  0.000  0.500
H  0.000  0.500  0.000
H  0.500  0.000  0.000

Computed properties:
The value obtained for the total energy is -2.7017 eV per atom. The calculation puts the distance to the lowest polymorph of the same formula at 271 meV per atom. As for the density of states at the Fermi level: 0.9 states/eV/f.u. The calculation puts the total magnetization at 0.00 μB/cell. The crystal system is cubic.

---

Computed, not measured: a relaxed structure of Ca3MgH2 at the GGA-PBE level of DFT.

Cell: 7.355 7.355 5.480 Å, 90.00 90.00 102.18°
Fractional coordinates of all 12 atoms:
Ca  0.106  0.894  0.750
Ca  0.175  0.396  0.750
Ca  0.396  0.175  0.250
Ca  0.604  0.825  0.750
Ca  0.825  0.604  0.250
Ca  0.894  0.106  0.250
Mg  0.325  0.675  0.250
Mg  0.675  0.325  0.750
H  0.147  0.147  0.000
H  0.147  0.147  0.500
H  0.853  0.853  0.000
H  0.853  0.853  0.500

Computed properties:
The value obtained for the total energy is -2.6857 eV per atom. As for the density of states at the Fermi level: 4.0 states/eV/f.u. The calculation puts the total magnetization at 0.00 μB/cell. The crystal system is orthorhombic.

---

Computed, not measured: a relaxed structure of CaMg3H at the GGA-PBE level of DFT.

Cell: 4.764 4.764 4.764 Å, 90.00 90.00 90.00°
Fractional coordinates of all 5 atoms:
Ca  0.000  0.000  0.000
Mg  0.000  0.500  0.500
Mg  0.500  0.000  0.500
Mg  0.500  0.500  0.000
H  0.500  0.500  0.500

Computed properties:
The value obtained for the total energy is -1.9017 eV per atom. As for the density of states at the Fermi level: 2.0 states/eV/f.u. The calculation puts the total magnetization at 0.00 μB/cell. The crystal system is cubic.

---

Computed, not measured: a relaxed structure of Ca2MgH at the GGA-PBE level of DFT.

Cell: 8.734 8.734 8.734 Å, 24.34 24.34 24.34°
Fractional coordinates of all 4 atoms:
Ca  0.000  0.000  0.000
Ca  0.215  0.215  0.215
Mg  0.441  0.441  0.441
H  0.608  0.608  0.608

Computed properties:
The value obtained for the total energy is -2.3256 eV per atom. The calculation puts the distance to the lowest polymorph of the same formula at 30 meV per atom. As for the density of states at the Fermi level: 2.5 states/eV/f.u. The calculation puts the total magnetization at 0.00 μB/cell. The crystal system is trigonal.

---

Computed, not measured: a relaxed structure of CaMg2H6 at the GGA-PBE level of DFT.

Cell: 5.217 5.217 5.217 Å, 60.00 60.00 60.00°
Fractional coordinates of all 9 atoms:
Ca  0.000  0.000  0.000
Mg  0.250  0.250  0.250
Mg  0.750  0.750  0.750
H  0.277  0.277  0.723
H  0.277  0.723  0.277
H  0.277  0.723  0.723
H  0.723  0.277  0.277
H  0.723  0.277  0.723
H  0.723  0.723  0.277

Computed properties:
The value obtained for the total energy is -2.4269 eV per atom. The calculation puts the distance to the lowest polymorph of the same formula at 691 meV per atom. As for the density of states at the Fermi level: 3.8 states/eV/f.u. The calculation puts the total magnetization at 0.00 μB/cell. The crystal system is cubic.

---

Computed, not measured: a relaxed structure of Ca6Mg2HN at the GGA-PBE level of DFT.

Cell: 7.220 7.216 7.170 Å, 60.25 60.19 59.56°
Fractional coordinates of all 10 atoms:
Ca  0.238  0.238  0.762
Ca  0.240  0.760  0.240
Ca  0.240  0.760  0.760
Ca  0.760  0.240  0.240
Ca  0.760  0.240  0.760
Ca  0.762  0.762  0.238
Mg  0.250  0.250  0.250
Mg  0.750  0.750  0.750
H  0.500  0.500  0.500
N  0.000  0.000  0.000

Computed properties:
The value obtained for the total energy is -3.0531 eV per atom. As for the density of states at the Fermi level: 4.7 states/eV/f.u. The calculation puts the total magnetization at 0.00 μB/cell. The crystal system is orthorhombic.

---

Computed, not measured: a relaxed structure of Na2CaMgH at the GGA-PBE level of DFT.

Cell: 5.066 5.066 4.839 Å, 90.00 90.00 90.00°
Fractional coordinates of all 5 atoms:
Na  0.000  0.500  0.000
Na  0.500  0.000  0.000
Ca  0.000  0.000  0.500
Mg  0.500  0.500  0.500
H  0.000  0.000  0.000

Computed properties:
The value obtained for the total energy is -1.9557 eV per atom. As for the density of states at the Fermi level: 1.9 states/eV/f.u. The calculation puts the total magnetization at 0.00 μB/cell. The crystal system is tetragonal.

---

Computed, not measured: a relaxed structure of CaMgNiH4 at the GGA-PBE level of DFT.

Cell: 6.729 6.729 6.729 Å, 90.00 90.00 90.00°
Fractional coordinates of all 28 atoms:
Ca  0.178  0.322  0.678
Ca  0.322  0.678  0.178
Ca  0.678  0.178  0.322
Ca  0.822  0.822  0.822
Mg  0.166  0.166  0.166
Mg  0.334  0.834  0.666
Mg  0.666  0.334  0.834
Mg  0.834  0.666  0.334
Ni  0.046  0.954  0.454
Ni  0.454  0.046  0.954
Ni  0.546  0.546  0.546
Ni  0.954  0.454  0.046
H  0.049  0.439  0.261
H  0.061  0.739  0.549
H  0.091  0.591  0.909
H  0.239  0.951  0.939
H  0.261  0.049  0.439
H  0.409  0.409  0.409
H  0.439  0.261  0.049
H  0.451  0.561  0.761
H  0.549  0.061  0.739
H  0.561  0.761  0.451
H  0.591  0.909  0.091
H  0.739  0.549  0.061
H  0.761  0.451  0.561
H  0.909  0.091  0.591
H  0.939  0.239  0.951
H  0.951  0.939  0.239

Computed properties:
The value obtained for the total energy is -3.6827 eV per atom. As for the density of states at the Fermi level: 0.0 states/eV/f.u. The calculation puts the total magnetization at 0.00 μB/cell. The crystal system is cubic.

---

Computed, not measured: a relaxed structure of CaMgNi2H8 at the GGA-PBE level of DFT.

Cell: 5.956 5.956 5.956 Å, 46.15 46.15 46.15°
Fractional coordinates of all 12 atoms:
Ca  0.000  0.000  0.000
Mg  0.500  0.500  0.500
Ni  0.201  0.201  0.201
Ni  0.799  0.799  0.799
H  0.089  0.843  0.410
H  0.157  0.590  0.911
H  0.299  0.299  0.299
H  0.410  0.089  0.843
H  0.590  0.911  0.157
H  0.701  0.701  0.701
H  0.843  0.410  0.089
H  0.911  0.157  0.590

Computed properties:
The value obtained for the total energy is -3.5967 eV per atom. As for the density of states at the Fermi level: 2.6 states/eV/f.u. The calculation puts the total magnetization at 0.00 μB/cell. The crystal system is trigonal.

---

Computed, not measured: a relaxed structure of CaMgNi2H6 at the GGA-PBE level of DFT.

Cell: 5.777 5.777 5.777 Å, 45.61 45.61 45.61°
Fractional coordinates of all 10 atoms:
Ca  0.000  0.000  0.000
Mg  0.500  0.500  0.500
Ni  0.207  0.207  0.207
Ni  0.793  0.793  0.793
H  0.056  0.576  0.576
H  0.424  0.424  0.944
H  0.424  0.944  0.424
H  0.576  0.056  0.576
H  0.576  0.576  0.056
H  0.944  0.424  0.424

Computed properties:
The value obtained for the total energy is -3.7268 eV per atom. As for the density of states at the Fermi level: 0.8 states/eV/f.u. The calculation puts the total magnetization at 0.00 μB/cell. The crystal system is trigonal.

---

Computed, not measured: a relaxed structure of CaMgNiH6 at the GGA-PBE level of DFT.

Cell: 4.591 4.591 4.303 Å, 90.00 90.00 120.00°
Fractional coordinates of all 9 atoms:
Ca  0.000  0.000  0.000
Mg  0.333  0.667  0.532
Ni  0.667  0.333  0.659
H  0.326  0.167  0.461
H  0.506  0.014  0.895
H  0.508  0.494  0.895
H  0.833  0.159  0.461
H  0.841  0.674  0.461
H  0.986  0.492  0.895

Computed properties:
The value obtained for the total energy is -3.5217 eV per atom. As for the density of states at the Fermi level: 1.8 states/eV/f.u. The calculation puts the total magnetization at 0.00 μB/cell. The crystal system is trigonal.

---

Computed, not measured: a relaxed structure of Ca2MgNiH6 at the GGA-PBE level of DFT.

Cell: 5.140 5.140 4.849 Å, 90.00 90.00 120.00°
Fractional coordinates of all 10 atoms:
Ca  0.333  0.667  0.182
Ca  0.667  0.333  0.818
Mg  0.000  0.000  0.500
Ni  0.000  0.000  0.000
H  0.161  0.321  0.789
H  0.161  0.839  0.789
H  0.321  0.161  0.211
H  0.679  0.839  0.789
H  0.839  0.161  0.211
H  0.839  0.679  0.211

Computed properties:
The value obtained for the total energy is -3.4319 eV per atom. As for the density of states at the Fermi level: 0.8 states/eV/f.u. The calculation puts the total magnetization at 0.00 μB/cell. The crystal system is trigonal.

---

Computed, not measured: a relaxed structure of Ca2MgP2H4O10 at the GGA-PBE level of DFT.

Cell: 5.510 5.779 6.889 Å, 107.73 97.07 108.77°
Fractional coordinates of all 19 atoms:
Ca  0.150  0.297  0.262
Ca  0.850  0.703  0.738
Mg  0.500  0.000  0.500
P  0.164  0.338  0.743
P  0.836  0.662  0.257
H  0.352  0.875  0.101
H  0.420  0.830  0.815
H  0.580  0.170  0.185
H  0.648  0.125  0.899
O  0.096  0.743  0.427
O  0.134  0.165  0.876
O  0.222  0.630  0.882
O  0.391  0.334  0.628
O  0.430  0.048  0.223
O  0.570  0.952  0.777
O  0.609  0.666  0.372
O  0.778  0.370  0.118
O  0.866  0.835  0.124
O  0.904  0.257  0.573

Computed properties:
The value obtained for the total energy is -6.4438 eV per atom. As for the density of states at the Fermi level: 0.0 states/eV/f.u. The calculation puts the total magnetization at 0.00 μB/cell. The crystal system is triclinic.

---

Computed, not measured: a relaxed structure of Ca6Mg2ZnP6H12O30 at the GGA-PBE level of DFT.

Cell: 5.523 6.881 15.327 Å, 86.52 86.48 82.89°
Fractional coordinates of all 57 atoms:
Ca  0.051  0.336  0.400
Ca  0.282  0.330  0.932
Ca  0.385  0.004  0.735
Ca  0.615  0.996  0.265
Ca  0.718  0.670  0.068
Ca  0.949  0.664  0.600
Mg  0.166  0.333  0.166
Mg  0.834  0.667  0.834
Zn  0.500  0.000  0.500
P  0.053  0.869  0.386
P  0.283  0.797  0.946
P  0.385  0.536  0.720
P  0.615  0.464  0.280
P  0.717  0.203  0.054
P  0.947  0.131  0.614
H  0.059  0.689  0.208
H  0.143  0.961  0.223
H  0.189  0.705  0.110
H  0.273  0.976  0.124
H  0.395  0.356  0.542
H  0.476  0.631  0.557
H  0.524  0.369  0.443
H  0.605  0.644  0.458
H  0.727  0.024  0.876
H  0.811  0.295  0.890
H  0.857  0.039  0.777
H  0.941  0.311  0.792
O  0.010  0.826  0.290
O  0.054  0.683  0.945
O  0.079  0.680  0.445
O  0.080  0.626  0.150
O  0.152  0.680  0.748
O  0.175  0.981  0.587
O  0.252  0.039  0.182
O  0.255  0.988  0.889
O  0.284  0.982  0.385
O  0.321  0.838  0.043
O  0.347  0.497  0.623
O  0.386  0.349  0.278
O  0.411  0.294  0.484
O  0.413  0.345  0.778
O  0.485  0.347  0.081
O  0.515  0.653  0.919
O  0.587  0.655  0.222
O  0.589  0.706  0.516
O  0.614  0.651  0.722
O  0.653  0.503  0.377
O  0.679  0.162  0.957
O  0.716  0.018  0.615
O  0.745  0.012  0.111
O  0.748  0.961  0.818
O  0.825  0.019  0.413
O  0.848  0.320  0.252
O  0.920  0.374  0.850
O  0.921  0.320  0.555
O  0.946  0.317  0.055
O  0.990  0.174  0.710

Computed properties:
The value obtained for the total energy is -6.3828 eV per atom. As for the density of states at the Fermi level: 0.0 states/eV/f.u. The calculation puts the total magnetization at 0.00 μB/cell. The crystal system is triclinic.

---

Computed, not measured: a relaxed structure of CaMg2PH at the GGA-PBE level of DFT.

Cell: 5.891 5.891 3.748 Å, 90.00 90.00 90.00°
Fractional coordinates of all 5 atoms:
Ca  0.000  0.000  0.000
Mg  0.000  0.500  0.000
Mg  0.500  0.000  0.000
P  0.500  0.500  0.500
H  0.000  0.000  0.500

Computed properties:
The value obtained for the total energy is -2.0472 eV per atom. As for the density of states at the Fermi level: 4.6 states/eV/f.u. The calculation puts the total magnetization at 0.00 μB/cell. The crystal system is tetragonal.

---

Computed, not measured: a relaxed structure of CaMgPH at the GGA-PBE level of DFT.

Cell: 4.261 4.261 4.321 Å, 90.00 90.00 120.00°
Fractional coordinates of all 4 atoms:
Ca  0.000  0.000  0.000
Mg  0.667  0.333  0.501
P  0.333  0.667  0.498
H  0.667  0.333  0.999

Computed properties:
The value obtained for the total energy is -3.8180 eV per atom. As for the density of states at the Fermi level: 0.0 states/eV/f.u. The calculation puts the total magnetization at 0.00 μB/cell. The crystal system is trigonal.

---

Computed, not measured: a relaxed structure of CaMg2HPb at the GGA-PBE level of DFT.

Cell: 4.676 4.676 4.675 Å, 90.00 90.00 90.00°
Fractional coordinates of all 5 atoms:
Ca  0.000  0.000  0.000
Mg  0.000  0.500  0.500
Mg  0.500  0.000  0.500
H  0.000  0.000  0.500
Pb  0.500  0.500  0.000

Computed properties:
The value obtained for the total energy is -2.6877 eV per atom. As for the density of states at the Fermi level: 1.3 states/eV/f.u. The calculation puts the total magnetization at 0.00 μB/cell. The crystal system is tetragonal.

---

Computed, not measured: a relaxed structure of Ca2Mg2HPb2 at the GGA-PBE level of DFT.

Cell: 8.715 8.715 8.715 Å, 149.56 149.56 43.59°
Fractional coordinates of all 7 atoms:
Ca  0.164  0.164  0.000
Ca  0.836  0.836  0.000
Mg  0.000  0.500  0.500
Mg  0.500  0.000  0.500
H  0.000  0.000  0.000
Pb  0.372  0.372  0.000
Pb  0.628  0.628  0.000

Computed properties:
The value obtained for the total energy is -2.9414 eV per atom. As for the density of states at the Fermi level: 1.4 states/eV/f.u. The calculation puts the total magnetization at 0.00 μB/cell. The crystal system is tetragonal.

---

no.,theoretical density (g cm⁻³)
1,1.87
2,1.75
3,1.82
4,1.52
5,1.68
6,1.75
7,1.76
8,1.57
9,1.91
10,1.49
11,2.77
12,3.15
13,3.48
14,2.73
15,2.53
16,2.86
17,2.98
18,1.54
19,2.36
20,4.82
21,5.33